No. 1
Below is an optimized crystal structure of DyTm2Ru2, with properties calculated at the GGA-PBE level.

Properties
**Energy above the lowest structure with this stoichiometry**: 0 meV/atom
**DFT formation energy**: -0.36 eV per atom
**Electronic total energy**: -6.782 eV per atom

CIF file:
```
data_DyTm2Ru2
_chemical_formula_sum 'Dy2 Tm4 Ru4'
_symmetry_space_group_name_H-M 'C m m m'
_symmetry_Int_Tables_number 65
_symmetry_space_group_name_Hall '-C 2 2'
_cell_length_a 3.3837
_cell_length_b 20.0406
_cell_length_c 3.3572
_cell_angle_alpha 90.00
_cell_angle_beta 90.00
_cell_angle_gamma 90.00
loop_
_atom_site_label
_atom_site_type_symbol
_atom_site_fract_x
_atom_site_fract_y
_atom_site_fract_z
Dy1 Dy 0.0000 0.0000 0.0000
Tm1 Tm 0.0000 0.1664 0.0000
Ru1 Ru 0.0000 0.4098 0.5000
```

***

No. 2
Below is an optimized crystal structure of TbNd2Er, with properties calculated at the GGA-PBE level.

Properties
**Energy above the lowest structure with this stoichiometry**: 97 meV/atom
**DFT formation energy**: 0.11 eV per atom
**Electronic total energy**: -4.573 eV per atom

CIF file:
```
data_TbNd2Er
_chemical_formula_sum 'Tb2 Nd4 Er2'
_symmetry_space_group_name_H-M 'I m m 2'
_symmetry_Int_Tables_number 44
_cell_length_a 3.7549
_cell_length_b 5.9275
_cell_length_c 12.0165
_cell_angle_alpha 90.00
_cell_angle_beta 90.00
_cell_angle_gamma 90.00
loop_
_symmetry_equiv_pos_as_xyz
'x,y,z'
'-x,-y,z'
'-x,y,z'
'x,-y,z'
'x+1/2,y+1/2,z+1/2'
'-x+1/2,-y+1/2,z+1/2'
'-x+1/2,y+1/2,z+1/2'
'x+1/2,-y+1/2,z+1/2'
loop_
_atom_site_label
_atom_site_type_symbol
_atom_site_fract_x
_atom_site_fract_y
_atom_site_fract_z
Tb1 Tb 0.0000 0.0000 0.0000
Nd1 Nd 0.0000 0.0000 0.5194
Nd2 Nd 0.0000 0.5000 0.7539
Er1 Er 0.0000 0.5000 0.2630
```

***

No. 3
Below is an optimized crystal structure of KYEr4Se8, with properties calculated at the GGA-PBE level.

Properties
**Formation energy from raw total energies**: -1.74 eV/atom
**Electronic total energy**: -5.574 eV per atom

CIF file:
```
data_KYEr4Se8
_chemical_formula_sum 'K3 Y3 Er12 Se24'
_symmetry_space_group_name_H-M 'R 3 m'
_symmetry_Int_Tables_number 160
_symmetry_space_group_name_Hall 'R 3 -2"'
_cell_length_a 8.5130
_cell_length_b 8.5130
_cell_length_c 20.9989
_cell_angle_alpha 90.00
_cell_angle_beta 90.00
_cell_angle_gamma 120.00
loop_
_atom_site_label
_atom_site_type_symbol
_atom_site_fract_x
_atom_site_fract_y
_atom_site_fract_z
K1 K 0.0000 0.0000 0.0000
Y1 Y 0.0000 0.0000 0.3682
Er1 Er 0.0000 0.0000 0.7481
Er2 Er 0.0128 0.5064 0.8750
Se1 Se 0.0000 0.0000 0.1395
Se2 Se 0.0000 0.0000 0.6158
Se3 Se 0.0190 0.5095 0.1263
Se4 Se 0.1864 0.3728 0.9505
```

***

No. 4
Below is an optimized crystal structure of U2Mn12Si7, with properties calculated at the GGA-PBE level.

Properties
**Formation energy from raw total energies**: -0.32 eV/atom
**Electronic total energy**: -8.439 eV per atom

CIF file:
```
data_U2Mn12Si7
_chemical_formula_sum 'U2 Mn12 Si7'
_symmetry_space_group_name_H-M 'P -6'
_symmetry_Int_Tables_number 174
_cell_length_a 9.7603
_cell_length_b 9.7603
_cell_length_c 3.4553
_cell_angle_alpha 90.00
_cell_angle_beta 90.00
_cell_angle_gamma 120.00
loop_
_symmetry_equiv_pos_as_xyz
'x,y,z'
'-x+y,-x,-z'
'-y,x-y,z'
'x,y,-z'
'-x+y,-x,z'
'-y,x-y,-z'
loop_
_atom_site_label
_atom_site_type_symbol
_atom_site_fract_x
_atom_site_fract_y
_atom_site_fract_z
U1 U 0.0000 0.0000 0.0000
U2 U 0.3333 0.6667 0.5000
Mn1 Mn 0.0427 0.7685 0.5000
Mn2 Mn 0.1114 0.3958 0.0000
Mn3 Mn 0.3906 0.2100 0.0000
Mn4 Mn 0.5438 0.1143 0.5000
Si1 Si 0.0709 0.6171 0.0000
Si2 Si 0.2545 0.0352 0.5000
Si3 Si 0.6667 0.3333 0.0000
```

***

No. 5
Below is an optimized crystal structure of BeP2Se, with properties calculated at the GGA-PBE level.

Properties
**Energy above the lowest structure with this stoichiometry**: 0 meV/atom
**Formation energy from raw total energies**: -0.27 eV/atom
**Electronic total energy**: -4.777 eV per atom

CIF file:
```
data_BeP2Se
_chemical_formula_sum 'Be2 P4 Se2'
_symmetry_space_group_name_H-M 'C 1 m 1'
_symmetry_Int_Tables_number 8
_cell_length_a 6.1040
_cell_length_b 3.5519
_cell_length_c 6.8448
_cell_angle_alpha 90.00
_cell_angle_beta 90.33
_cell_angle_gamma 90.00
loop_
_symmetry_equiv_pos_as_xyz
'x,y,z'
'x,-y,z'
'x+1/2,y+1/2,z'
'x+1/2,-y+1/2,z'
loop_
_atom_site_label
_atom_site_type_symbol
_atom_site_fract_x
_atom_site_fract_y
_atom_site_fract_z
Be1 Be 0.0000 0.0000 0.0000
P1 P 0.0015 0.0000 0.3204
P2 P 0.1679 0.5000 0.4843
Se1 Se 0.3337 0.0000 0.8993
```

***

No. 6
Below is an optimized crystal structure of VFeSn, with properties calculated at the GGA-PBE level.

Properties
**DFT formation energy**: 0.04 eV per atom
**Electronic total energy**: -7.154 eV per atom

CIF file:
```
data_VFeSn
_chemical_formula_sum 'V2 Fe2 Sn2'
_symmetry_space_group_name_H-M 'P 4/n m m'
_symmetry_Int_Tables_number 129
_cell_length_a 4.0494
_cell_length_b 4.0494
_cell_length_c 5.9619
_cell_angle_alpha 90.00
_cell_angle_beta 90.00
_cell_angle_gamma 90.00
loop_
_symmetry_equiv_pos_as_xyz
'x,y,z'
'-x,-y,-z'
'-y+1/2,x,z'
'y+1/2,-x,-z'
'-x+1/2,-y+1/2,z'
'x+1/2,y+1/2,-z'
'y,-x+1/2,z'
'-y,x+1/2,-z'
'x+1/2,-y,-z'
'-x+1/2,y,z'
'-y,-x,-z'
'y,x,z'
'-x,y+1/2,-z'
'x,-y+1/2,z'
'y+1/2,x+1/2,-z'
'-y+1/2,-x+1/2,z'
loop_
_atom_site_label
_atom_site_type_symbol
_atom_site_fract_x
_atom_site_fract_y
_atom_site_fract_z
V1 V 0.2500 0.2500 0.2202
Fe1 Fe 0.2500 0.7500 0.0000
Sn1 Sn 0.2500 0.2500 0.6901
```

***

No. 7
Below is an optimized crystal structure of NpPaTeSe2, with properties calculated at the GGA-PBE level.

Properties
**Formation energy from raw total energies**: -0.82 eV/atom
**Electronic total energy**: -7.332 eV per atom

CIF file:
```
data_NpPaTeSe2
_chemical_formula_sum 'Np2 Pa2 Te2 Se4'
_symmetry_space_group_name_H-M 'I 4 m m'
_symmetry_Int_Tables_number 107
_symmetry_space_group_name_Hall 'I 4 -2'
_cell_length_a 4.5392
_cell_length_b 4.5392
_cell_length_c 13.0224
_cell_angle_alpha 90.00
_cell_angle_beta 90.00
_cell_angle_gamma 90.00
loop_
_atom_site_label
_atom_site_type_symbol
_atom_site_fract_x
_atom_site_fract_y
_atom_site_fract_z
Np1 Np 0.0000 0.0000 0.0000
Pa1 Pa 0.0000 0.0000 0.7713
Te1 Te 0.0000 0.0000 0.3872
Se1 Se 0.0000 0.5000 0.1385
```

***

No. 8
Below is an optimized crystal structure of Sm2Dy5In5, with properties calculated at the GGA-PBE level.

Properties
**DFT formation energy**: -0.31 eV per atom
**Electronic total energy**: -4.152 eV per atom

CIF file:
```
data_Sm2Dy5In5
_chemical_formula_sum 'Sm4 Dy10 In10'
_symmetry_space_group_name_H-M 'C 1 2/m 1'
_symmetry_Int_Tables_number 12
_cell_length_a 11.9410
_cell_length_b 5.1095
_cell_length_c 11.9642
_cell_angle_alpha 90.00
_cell_angle_beta 109.20
_cell_angle_gamma 90.00
loop_
_symmetry_equiv_pos_as_xyz
'x,y,z'
'-x,-y,-z'
'-x,y,-z'
'x,-y,z'
'x+1/2,y+1/2,z'
'-x+1/2,-y+1/2,-z'
'-x+1/2,y+1/2,-z'
'x+1/2,-y+1/2,z'
loop_
_atom_site_label
_atom_site_type_symbol
_atom_site_fract_x
_atom_site_fract_y
_atom_site_fract_z
Sm1 Sm 0.0725 0.0000 0.2576
Dy1 Dy 0.0000 0.5000 0.0000
Dy2 Dy 0.1321 0.5000 0.7781
Dy3 Dy 0.1520 0.5000 0.5035
In1 In 0.0000 0.0000 0.5000
In2 In 0.1692 0.0000 0.9661
In3 In 0.2432 0.5000 0.2804
```

***

No. 9
Below is an optimized crystal structure of YTl3Fe, with properties calculated at the GGA-PBE level.

Properties
**Energy above the lowest structure with this stoichiometry**: 0 meV/atom
**DFT formation energy**: 0.32 eV per atom
**Electronic total energy**: -4.087 eV per atom

CIF file:
```
data_YTl3Fe
_chemical_formula_sum 'Y1 Tl3 Fe1'
_symmetry_space_group_name_H-M 'P m -3 m'
_symmetry_Int_Tables_number 221
_symmetry_space_group_name_Hall '-P 4 2 3'
_cell_length_a 5.0390
_cell_length_b 5.0390
_cell_length_c 5.0390
_cell_angle_alpha 90.00
_cell_angle_beta 90.00
_cell_angle_gamma 90.00
loop_
_atom_site_label
_atom_site_type_symbol
_atom_site_fract_x
_atom_site_fract_y
_atom_site_fract_z
Y1 Y 0.0000 0.0000 0.0000
Tl1 Tl 0.0000 0.5000 0.5000
Fe1 Fe 0.5000 0.5000 0.5000
```

***

No. 10
Below is an optimized crystal structure of KAg2RhF6, with properties calculated at the GGA-PBE level.

Properties
**Formation energy from raw total energies**: -1.61 eV/atom
**Electronic total energy**: -4.146 eV per atom

CIF file:
```
data_KAg2RhF6
_chemical_formula_sum 'K3 Ag6 Rh3 F18'
_symmetry_space_group_name_H-M 'R -3'
_symmetry_Int_Tables_number 148
_symmetry_space_group_name_Hall '-R 3'
_cell_length_a 6.2393
_cell_length_b 6.2393
_cell_length_c 14.7265
_cell_angle_alpha 90.00
_cell_angle_beta 90.00
_cell_angle_gamma 120.00
loop_
_atom_site_label
_atom_site_type_symbol
_atom_site_fract_x
_atom_site_fract_y
_atom_site_fract_z
K1 K 0.0000 0.0000 0.0000
Ag1 Ag 0.0000 0.0000 0.2699
Rh1 Rh 0.0000 0.0000 0.5000
F1 F 0.0045 0.2659 0.5796
```

***

No. 11
Below is an optimized crystal structure of Al4CuPd5, with properties calculated at the GGA-PBE level.

Properties
**DFT formation energy**: -0.76 eV per atom
**Electronic total energy**: -5.264 eV per atom

CIF file:
```
data_Al4CuPd5
_chemical_formula_sum 'Al4 Cu1 Pd5'
_symmetry_space_group_name_H-M 'P 4/m m m'
_symmetry_Int_Tables_number 123
_symmetry_space_group_name_Hall '-P 4 2'
_cell_length_a 3.1170
_cell_length_b 3.1170
_cell_length_c 14.8005
_cell_angle_alpha 90.00
_cell_angle_beta 90.00
_cell_angle_gamma 90.00
loop_
_atom_site_label
_atom_site_type_symbol
_atom_site_fract_x
_atom_site_fract_y
_atom_site_fract_z
Al1 Al 0.0000 0.0000 0.1012
Al2 Al 0.0000 0.0000 0.3061
Cu1 Cu 0.0000 0.0000 0.5000
Pd1 Pd 0.5000 0.5000 0.0000
Pd2 Pd 0.5000 0.5000 0.2026
Pd3 Pd 0.5000 0.5000 0.3993
```

***

No. 12
Below is an optimized crystal structure of Mg2SBr, with properties calculated at the GGA-PBE level.

Properties
**Energy above the lowest structure with this stoichiometry**: 237 meV/atom
**Formation energy from raw total energies**: -0.63 eV/atom
**Electronic total energy**: -2.875 eV per atom

CIF file:
```
data_Mg2SBr
_chemical_formula_sum 'Mg8 S4 Br4'
_symmetry_space_group_name_H-M 'F m -3 m'
_symmetry_Int_Tables_number 225
_symmetry_space_group_name_Hall '-F 4 2 3'
_cell_length_a 6.8131
_cell_length_b 6.8131
_cell_length_c 6.8131
_cell_angle_alpha 90.00
_cell_angle_beta 90.00
_cell_angle_gamma 90.00
loop_
_atom_site_label
_atom_site_type_symbol
_atom_site_fract_x
_atom_site_fract_y
_atom_site_fract_z
Mg1 Mg 0.2500 0.2500 0.2500
S1 S 0.0000 0.0000 0.0000
Br1 Br 0.0000 0.0000 0.5000
```

***

> Which formula does entry 6 have?

VFeSn

***

> Among the records above, which one has the lowest electronic total energy?

U2Mn12Si7

***

> electronic total energy of number 11 (Al4CuPd5)?

-5.264 eV per atom